## Tb2MgB3Pt12 (PBE-GGA)

Data for Tb2MgB3Pt12 after structural relaxation.

Properties
E_form, eV per formula unit: -8.3
E_tot, eV per cell: -335.05
D(E_F), states/eV per cell: 22.91
ρ, kg/m3: 14532

Cell: 8.0142 8.0142 16.7363 Å, 90.00 90.00 120.00°
Space group R-3m (No. 166, hexagonal axes)
Unique sites:
Tb 0.0000 0.0000 0.1022 x6
Mg 0.0000 0.0000 0.5000 x3
B 0.0000 0.5000 0.0000 x9
Pt 0.0138 0.5069 0.8742 x18
Pt 0.0563 0.5281 0.3520 x18



## CaScS2 (PBE-GGA)

Data for CaScS2 after structural relaxation.

Properties
E_tot, eV per cell: -68.28
D(E_F), states/eV per cell: 3.30
ρ, kg/m3: 2381
Formation energy from raw total energies, eV per atom: -1.543
Excess energy over the best structure of this formula in the dataset, meV/atom: 432

Cell: 3.8412 3.8412 24.4263 Å, 90.00 90.00 120.00°
Space group R-3m (No. 166, hexagonal axes)
Unique sites:
Ca 0.0000 0.0000 0.0000 x3
Sc 0.0000 0.0000 0.5000 x3
S 0.0000 0.0000 0.1103 x6



The lowest D(E_F) belongs to which entry? CaScS2